Sc2NbI: relaxed, PBE.

- Relative energy among the computed polymorphs: 0.369 eV/atom
- Total magnetization: 0.0 μB/cell
- ρ: 5.5 g cm⁻³
- Formation energy from raw total energies: 546 meV per atom
- Uncorrected energy: -88.39 eV for the cell shown

a b c (Å): 4.3099 4.3099 20.1349
angles (deg): 90.00 90.00 90.00
Space group I-42d (No. 122)
Inequivalent atoms, fractional coordinates:
Sc 0.2489 0.2500 0.1250 (multiplicity 8)
Nb 0.0000 0.0000 0.0000 (multiplicity 4)
I 0.0000 0.0000 0.5000 (multiplicity 4)

Sc3NbI: relaxed, PBE.

- Relative energy among the computed polymorphs: 0.246 eV/atom
- Total magnetization: 1.1 μB/cell
- ρ: 4.2 g cm⁻³
- Formation energy from raw total energies: 792 meV per atom
- Uncorrected energy: -26.66 eV for the cell shown

a b c (Å): 5.1866 5.1866 5.1866
angles (deg): 90.00 90.00 90.00
Space group Pm-3m (No. 221)
Inequivalent atoms, fractional coordinates:
Sc 0.0000 0.0000 0.5000 (multiplicity 3)
Nb 0.5000 0.5000 0.5000 (multiplicity 1)
I 0.0000 0.0000 0.0000 (multiplicity 1)

Sc2NbSiI: relaxed, PBE.

- Total magnetization: 0.0 μB/cell
- ρ: 4.1 g cm⁻³
- Formation energy from raw total energies: 1249 meV per atom
- Uncorrected energy: -23.46 eV for the cell shown

a b c (Å): 5.1223 5.1223 5.1900
angles (deg): 90.00 90.00 90.00
Space group P4/mmm (No. 123)
Inequivalent atoms, fractional coordinates:
Sc 0.0000 0.5000 0.0000 (multiplicity 2)
Nb 0.0000 0.0000 0.5000 (multiplicity 1)
Si 0.5000 0.5000 0.5000 (multiplicity 1)
I 0.5000 0.5000 0.0000 (multiplicity 1)

Nb2Se4I: relaxed, PBE.

- Total magnetization: 0.0 μB/cell
- ρ: 5.5 g cm⁻³
- Formation energy from raw total energies: -438 meV per atom
- Uncorrected energy: -154.76 eV for the cell shown

a b c (Å): 10.1793 10.8913 7.8300
angles (deg): 90.00 119.60 90.00
Space group C2 (No. 5)
Inequivalent atoms, fractional coordinates:
Nb 0.0584 0.0000 0.2836 (multiplicity 4)
Nb 0.1967 0.3006 0.6264 (multiplicity 4)
Se 0.0139 0.2491 0.2651 (multiplicity 4)
Se 0.0391 0.7762 0.3212 (multiplicity 4)
Se 0.1918 0.9862 0.0882 (multiplicity 4)
Se 0.1948 0.0533 0.6604 (multiplicity 4)
I 0.0000 0.5032 0.5000 (multiplicity 2)
I 0.0000 0.5108 0.0000 (multiplicity 2)